Material: LaTa2Re
Method: DFT, meta-GGA SCAN
State: PBEsol geometry

Output
Symmetry: No. 139
ΔH_f (0 K): 0.748 eV per atom
DOS(E_F): 2.75 states/eV/f.u.

abc: 3.9725 3.9725 9.7597
angles: 90.00 90.00 90.00
Sites, in units of the cell vectors:
La  0.0000  0.0000  0.0000
La  0.5000  0.5000  0.5000
Ta  0.0000  0.5000  0.2500
Ta  0.0000  0.5000  0.7500
Ta  0.5000  0.0000  0.2500
Ta  0.5000  0.0000  0.7500
Re  0.0000  0.0000  0.5000
Re  0.5000  0.5000  0.0000